(1)
VASP calculation (GGA-PBE) on a relaxed structure of Sb2HAuI.

Output
- Excess energy over the best structure of this formula in the dataset: 0.349 eV/atom
- Symmetry: No. 123
- Total energy: -2.3523 eV per atom

abc: 5.4167 5.4167 5.9770
angles: 90.00 90.00 90.00
With the nearest neighbours (Å) after each atom.
Sites, in units of the cell vectors:
Sb (0.0000, 0.5000, 0.0000)  2 Au 2.71
Sb (0.5000, 0.0000, 0.0000)  2 Au 2.71
H (0.0000, 0.0000, 0.5000)  4 I 3.83, 8 Sb 4.03
Au (0.5000, 0.5000, 0.0000)  4 Sb 2.71, 2 I 2.99
I (0.5000, 0.5000, 0.5000)  2 Au 2.99

(2)
VASP calculation (GGA-PBE) on a relaxed structure of Sb2HAuI.

Output
- Excess energy over the best structure of this formula in the dataset: 0.000 eV/atom
- Symmetry: No. 123
- Total energy: -2.7009 eV per atom

abc: 4.3645 4.3645 6.2431
angles: 90.00 90.00 90.00
With the nearest neighbours (Å) after each atom.
Sites, in units of the cell vectors:
Sb (0.0000, 0.5000, 0.0000)  2 H 2.18
Sb (0.5000, 0.0000, 0.0000)  2 H 2.18
H (0.0000, 0.0000, 0.0000)  4 Sb 2.18
Au (0.5000, 0.5000, 0.5000)  4 I 3.09
I (0.0000, 0.0000, 0.5000)  4 Au 3.09, 2 H 3.12

(3)
VASP calculation (GGA-PBE) on a relaxed structure of SbHAuI2.

Output
- Excess energy over the best structure of this formula in the dataset: 0.000 eV/atom
- Symmetry: No. 123
- Total energy: -2.2462 eV per atom

abc: 5.6016 5.6016 3.8841
angles: 90.00 90.00 90.00
With the nearest neighbours (Å) after each atom.
Sites, in units of the cell vectors:
Sb (0.0000, 0.0000, 0.0000)  2 H 1.94
H (0.0000, 0.0000, 0.5000)  2 Sb 1.94
Au (0.5000, 0.5000, 0.0000)  8 I 3.41
I (0.0000, 0.5000, 0.5000)  2 H 2.80
I (0.5000, 0.0000, 0.5000)  2 H 2.80

(4)
VASP calculation (GGA-PBE) on a relaxed structure of SiHAu2I.

Output
- Excess energy over the best structure of this formula in the dataset: 0.058 eV/atom
- Symmetry: No. 6
- Total energy: -3.2892 eV per atom

abc: 4.0259 3.6808 8.0060
angles: 90.00 100.79 90.00
With the nearest neighbours (Å) after each atom.
Sites, in units of the cell vectors:
Si (0.0000, 0.0000, 0.0000)  4 Au 2.43-2.44
H (0.5688, 0.5000, 0.1729)  2 Au 1.84
Au (0.5651, 0.0000, 0.1746)  2 H 1.84
Au (0.8704, 0.5000, 0.8002)  2 Si 2.43
I (0.5826, 0.0000, 0.5432)  3 Au 2.84-2.94